1.
## Th2Ge3Pd5 (GGA-PBE)

Data for a geometry-optimized Th2Ge3Pd5 structure.

abc: 4.438 7.041 12.330
angles: 90.00 100.37 90.00
Positions (direct):
Ge (0.395, 0.075, 0.789)
Ge (0.947, 0.449, 0.893)
Ge (0.777, 0.684, 0.554)
Ge (0.605, 0.575, 0.211)
Ge (0.053, 0.949, 0.107)
Ge (0.223, 0.184, 0.446)
Pd (0.051, 0.562, 0.102)
Pd (0.274, 0.494, 0.548)
Pd (0.390, 0.463, 0.781)
Pd (0.949, 0.062, 0.898)
Pd (0.726, 0.994, 0.452)
Pd (0.121, 0.241, 0.243)
Pd (0.301, 0.895, 0.601)
Pd (0.879, 0.741, 0.757)
Pd (0.610, 0.963, 0.219)
Pd (0.699, 0.395, 0.399)
Th (0.826, 0.245, 0.651)
Th (0.520, 0.256, 0.041)
Th (0.174, 0.745, 0.349)
Th (0.480, 0.756, 0.959)

Summary:
- E_form (eV/atom) = -0.756
- calculated volume (A^3/atom) = 18.9
- space group = Cmc2_1
- N(E_F) (states/eV/f.u.) = 6.57

***

2.
## ThGe2Pd (GGA-PBE)

Data for a geometry-optimized ThGe2Pd structure.

abc: 4.340 4.379 4.379
angles: 90.00 90.00 90.00
Positions (direct):
Ge (0.000, 0.500, 0.000)
Ge (0.000, 0.000, 0.500)
Pd (0.500, 0.500, 0.500)
Th (0.500, 0.000, 0.000)

Summary:
- E_form (eV/atom) = -0.525
- calculated volume (A^3/atom) = 20.8
- space group = P4/mmm
- N(E_F) (states/eV/f.u.) = 3.20

***

3.
## ThGePd2 (GGA-PBE)

Data for a geometry-optimized ThGePd2 structure.

abc: 4.251 4.479 4.516
angles: 98.28 90.00 90.00
Positions (direct):
Ge (0.500, 0.000, 0.500)
Pd (0.000, 0.794, 0.709)
Pd (0.000, 0.206, 0.291)
Th (0.500, 0.500, 0.000)

Summary:
- E_form (eV/atom) = -0.550
- calculated volume (A^3/atom) = 21.3
- space group = P2/m
- N(E_F) (states/eV/f.u.) = 2.51

***

4.
## ThGe3Pd3 (GGA-PBE)

Data for a geometry-optimized ThGe3Pd3 structure.

abc: 6.750 6.750 6.750
angles: 90.00 90.00 90.00
Positions (direct):
Th (0.500, 0.500, 0.500)
Th (0.000, 0.000, 0.000)
Ge (0.250, 0.500, 0.000)
Ge (0.000, 0.750, 0.500)
Ge (0.500, 0.000, 0.750)
Ge (0.500, 0.000, 0.250)
Ge (0.750, 0.500, 0.000)
Ge (0.000, 0.250, 0.500)
Pd (0.750, 0.000, 0.500)
Pd (0.000, 0.500, 0.750)
Pd (0.500, 0.750, 0.000)
Pd (0.500, 0.250, 0.000)
Pd (0.000, 0.500, 0.250)
Pd (0.250, 0.000, 0.500)

Summary:
- E_form (eV/atom) = -0.219
- calculated volume (A^3/atom) = 22.0
- space group = Pm-3n
- N(E_F) (states/eV/f.u.) = 5.33